First-principles (GGA-PBE) data for a geometry-optimized TmTh2Hg3 structure, as listed in the Alexandria database.

a = 3.4921 Å, b = 3.4921 Å, c = 13.0414 Å
α = 90.00°, β = 90.00°, γ = 90.00°
Last column: nearest neighbours and their distance in Å.
Positions (direct):
Tm 0.5000 0.5000 0.5000  8 Hg 3.16, 4 Tm 3.49
Th 0.5000 0.5000 0.8265  8 Hg 3.35-3.37, 4 Th 3.49
Th 0.5000 0.5000 0.1735  8 Hg 3.35-3.37, 4 Th 3.49
Hg 0.0000 0.0000 0.0000  8 Th 3.35, 4 Hg 3.49
Hg 0.0000 0.0000 0.6508  4 Tm 3.16, 4 Th 3.37, 4 Hg 3.49
Hg 0.0000 0.0000 0.3492  4 Tm 3.16, 4 Th 3.37, 4 Hg 3.49

- Crystal system: tetragonal
- Formation energy from the elements: -302 meV/atom
- Symmetry: No. 123


First-principles (GGA-PBE) data for a geometry-optimized CdMo2P structure, as listed in the Alexandria database.

a = 4.4527 Å, b = 4.4527 Å, c = 4.4527 Å
α = 60.00°, β = 60.00°, γ = 60.00°
Last column: nearest neighbours and their distance in Å.
Positions (direct):
P 0.0000 0.0000 0.0000  8 Mo 2.73
Mo 0.2500 0.2500 0.2500  4 Cd 2.73, 4 P 2.73
Mo 0.7500 0.7500 0.7500  4 Cd 2.73, 4 P 2.73
Cd 0.5000 0.5000 0.5000  8 Mo 2.73

- Crystal system: cubic
- Formation energy from the elements: 471 meV/atom
- Offset from the most stable computed form: 0.4724 eV/atom
- Symmetry: No. 225


First-principles (GGA-PBE) data for a geometry-optimized CsPa2AuO8 structure, as listed in the Alexandria database.

a = 5.7196 Å, b = 5.7215 Å, c = 7.7999 Å
α = 77.65°, β = 77.58°, γ = 72.69°
Last column: nearest neighbours and their distance in Å.
Positions (direct):
Cs 0.0000 0.0000 0.5000  4 O 2.96
Pa 0.4389 0.4388 0.7373  5 O 2.02-2.23
Pa 0.5611 0.5612 0.2627  5 O 2.02-2.23
Au 0.0000 0.0000 0.0000  6 O 2.02-2.05
O 0.2368 0.7877 0.1707  1 Au 2.05, 1 Pa 2.09
O 0.7746 0.7753 0.1086  1 Pa 2.02, 1 Au 2.02
O 0.7890 0.2368 0.1714  1 Au 2.05, 1 Pa 2.09
O 0.7632 0.2123 0.8293  1 Au 2.05, 1 Pa 2.09
O 0.2254 0.2247 0.8914  1 Pa 2.02, 1 Au 2.02
O 0.2110 0.7632 0.8286  1 Au 2.05, 1 Pa 2.09
O 0.6340 0.6329 0.5139  2 Pa 2.14-2.23
O 0.3660 0.3671 0.4861  2 Pa 2.14-2.23

- Crystal system: monoclinic
- Symmetry: No. 12
- ΔE_f (raw): -2.06 eV/atom


First-principles (GGA-PBE) data for a geometry-optimized RbBaHoF6 structure, as listed in the Alexandria database.

a = 6.7184 Å, b = 6.7184 Å, c = 9.9895 Å
α = 90.00°, β = 90.00°, γ = 120.00°
Last column: nearest neighbours and their distance in Å.
Positions (direct):
Rb 0.0000 0.0000 0.0000  6 F 2.85
Rb 0.0000 0.0000 0.5000  6 F 2.85
Ba 0.3333 0.6667 0.2500  6 F 2.64
Ba 0.6667 0.3333 0.7500  6 F 2.64
Ho 0.6667 0.3333 0.2500  6 F 2.19
Ho 0.3333 0.6667 0.7500  6 F 2.19
F 0.6537 0.6050 0.1367  1 Ho 2.19
F 0.9513 0.3463 0.1367  1 Ho 2.19
F 0.3463 0.9513 0.6367  1 Ho 2.19
F 0.0487 0.6537 0.8633  1 Ho 2.19
F 0.3950 0.3463 0.3633  1 Ho 2.19
F 0.9513 0.6050 0.3633  1 Ho 2.19
F 0.6050 0.9513 0.8633  1 Ho 2.19
F 0.6537 0.0487 0.3633  1 Ho 2.19
F 0.0487 0.3950 0.6367  1 Ho 2.19
F 0.3950 0.0487 0.1367  1 Ho 2.19
F 0.6050 0.6537 0.6367  1 Ho 2.19
F 0.3463 0.3950 0.8633  1 Ho 2.19

- Crystal system: trigonal
- Symmetry: No. 163
- ΔE_f (raw): -3.71 eV/atom


First-principles (GGA-PBE) data for a geometry-optimized SrCo2NiP structure, as listed in the Alexandria database.

a = 4.3914 Å, b = 5.4094 Å, c = 4.3914 Å
α = 90.00°, β = 90.00°, γ = 90.00°
Last column: nearest neighbours and their distance in Å.
Positions (direct):
Sr 0.0000 0.5000 0.0000  2 Ni 2.70
Co 0.0000 0.0000 0.5000  2 Ni 2.20
Co 0.5000 0.0000 0.0000  2 Ni 2.20
P 0.5000 0.5000 0.5000  4 Sr 3.11
Ni 0.0000 0.0000 0.0000  4 Co 2.20

- Crystal system: tetragonal
- Formation energy from the elements: 788 meV/atom
- Symmetry: No. 123


First-principles (GGA-PBE) data for a geometry-optimized Cs4RbPb3Br12 structure, as listed in the Alexandria database.

a = 10.4696 Å, b = 10.4696 Å, c = 10.4696 Å
α = 109.47°, β = 109.47°, γ = 109.47°
Last column: nearest neighbours and their distance in Å.
Positions (direct):
Cs 0.5000 0.5000 0.5000  12 Br 4.27-4.28
Cs 0.0000 0.0000 0.5000  12 Br 4.27-4.28
Cs 0.5000 0.0000 0.0000  12 Br 4.27-4.28
Cs 0.0000 0.5000 0.0000  12 Br 4.27-4.28
Rb 0.0000 0.0000 0.0000  6 Br 3.18
Pb 0.5000 0.0000 0.5000  6 Br 2.87-3.02
Pb 0.5000 0.5000 0.0000  6 Br 2.87-3.02
Pb 0.0000 0.5000 0.5000  6 Br 2.87-3.02
Br 0.2500 0.5000 0.7500  2 Pb 3.02
Br 0.7373 0.0000 0.7373  1 Pb 2.87, 1 Rb 3.18
Br 0.2627 0.0000 0.2627  1 Pb 2.87, 1 Rb 3.18
Br 0.7500 0.5000 0.2500  2 Pb 3.02
Br 0.7373 0.7373 0.0000  1 Pb 2.87, 1 Rb 3.18
Br 0.2627 0.2627 0.0000  1 Pb 2.87, 1 Rb 3.18
Br 0.7500 0.2500 0.5000  2 Pb 3.02
Br 0.2500 0.7500 0.5000  2 Pb 3.02
Br 0.5000 0.2500 0.7500  2 Pb 3.02
Br 0.0000 0.7373 0.7373  1 Pb 2.87, 1 Rb 3.18
Br 0.5000 0.7500 0.2500  2 Pb 3.02
Br 0.0000 0.2627 0.2627  1 Pb 2.87, 1 Rb 3.18

- Crystal system: cubic
- Symmetry: No. 229
- ΔE_f (raw): -1.28 eV/atom


Volume: 26.51 15.61 19.57 21.69 20.86 44.17 (Å³/atom)